Record 1
5
Lattice="-4.584 1.019 3.775 0.784 -4.502 2.167 3.797 2.549 3.922" Properties=species:S:1:pos:R:3 comment="CaMn2PBr (PBE, relaxed)" magmom_total_mub_per_cell=9.7 formation_energy_uncorrected_ev_per_atom=1.26 spacegroup="P4/mmm, No. 123" volume_a3_per_atom=36.7 dos_at_fermi_per_ev_atom=1.147 pbc="T T T"
Mn 1.898 1.275 1.961
Mn -2.292 0.509 1.887
P 0.392 -2.251 1.084
Ca 0.000 0.000 0.000
Br -0.001 -0.467 4.932

Record 2
18
Lattice="7.188 0.000 0.000 -3.594 6.225 0.000 0.000 0.000 13.176" Properties=species:S:1:pos:R:3 comment="CaMnPbBr6 (PBE, relaxed)" magmom_total_mub_per_cell=10.0 formation_energy_uncorrected_ev_per_atom=-1.22 spacegroup="P-31c, No. 163" volume_a3_per_atom=32.8 dos_at_fermi_per_ev_atom=0.000 pbc="T T T"
Ca 3.594 2.075 9.882
Ca 0.000 4.150 3.294
Br 2.199 4.088 8.315
Br 1.395 2.137 4.861
Br 2.441 3.949 1.727
Br 4.640 0.140 4.861
Br 4.747 3.949 4.861
Br 1.153 2.276 11.450
Br -2.199 4.088 11.450
Br -1.153 2.276 8.315
Br -1.046 6.085 8.315
Br 2.548 0.140 1.727
Br 1.046 6.085 11.450
Br 5.793 2.137 1.727
Mn 0.000 4.150 9.882
Mn 3.594 2.075 3.294
Pb 0.000 0.000 0.000
Pb 0.000 0.000 6.588

Record 3
10
Lattice="-4.349 -1.292 -6.433 -7.216 -3.072 0.679 -6.285 4.357 -1.443" Properties=species:S:1:pos:R:3 comment="Rb2CaMnBr6 (PBE, relaxed)" magmom_total_mub_per_cell=5.0 formation_energy_uncorrected_ev_per_atom=-1.55 spacegroup="R-3, No. 148" volume_a3_per_atom=33.9 dos_at_fermi_per_ev_atom=0.000 pbc="T T T"
Br -5.194 0.172 -3.910
Br -11.680 0.995 -3.993
Br -2.567 1.052 -1.237
Br -8.293 2.496 -5.044
Br -9.051 1.875 -1.320
Br -5.952 -0.448 -0.188
Rb -5.790 3.172 -1.540
Rb -8.455 -1.128 -3.691
Ca -12.905 -1.159 -5.493
Mn -3.980 -1.156 -1.894

Record 4
16
Lattice="8.055 0.044 -0.032 -2.309 7.717 -0.032 -2.431 -3.283 9.697" Properties=species:S:1:pos:R:3 comment="RbCaMnBr5 (PBE, relaxed)" magmom_total_mub_per_cell=10.0 formation_energy_uncorrected_ev_per_atom=-1.50 spacegroup="C2/c, No. 15" volume_a3_per_atom=37.6 dos_at_fermi_per_ev_atom=0.000 pbc="T T T"
Br -0.249 1.116 5.496
Br -2.093 6.286 2.392
Br -1.005 4.964 5.923
Br 6.257 2.130 1.074
Br 2.355 1.729 0.647
Br 0.959 2.748 8.985
Br 3.563 3.361 4.136
Br -2.942 2.347 8.558
Br 5.408 -1.809 7.240
Br 4.319 -0.487 3.710
Ca 0.000 0.000 0.000
Ca -1.215 -1.642 4.849
Rb 2.682 0.209 7.240
Rb 0.632 4.268 2.392
Mn -0.858 2.830 7.240
Mn 4.172 1.647 2.392

Record 5
12
Lattice="7.031 0.000 0.000 -3.515 6.089 0.000 0.000 0.000 9.998" Properties=species:S:1:pos:R:3 comment="RbCaMn2Br8 (PBE, relaxed)" magmom_total_mub_per_cell=9.0 formation_energy_uncorrected_ev_per_atom=-1.17 spacegroup="P-3, No. 147" volume_a3_per_atom=35.7 dos_at_fermi_per_ev_atom=1.065 pbc="T T T"
Br -2.347 4.093 3.215
Br 3.515 2.030 0.172
Br 1.144 2.010 3.215
Br 0.000 4.059 9.825
Br 2.371 4.079 6.782
Br 1.202 6.075 3.215
Br 5.862 1.996 6.782
Br 2.313 0.014 6.782
Ca 0.000 0.000 4.999
Mn 3.515 2.030 2.559
Mn 0.000 4.059 7.438
Rb 0.000 0.000 0.000

Record 6
12
Lattice="7.169 0.225 -0.005 0.273 6.614 -0.007 0.007 0.011 8.908" Properties=species:S:1:pos:R:3 comment="RbCa2MnBr8 (PBE, relaxed)" magmom_total_mub_per_cell=4.0 formation_energy_uncorrected_ev_per_atom=-1.45 spacegroup="P2/m, No. 10" volume_a3_per_atom=35.2 pbc="T T T"
Br 2.552 2.104 4.451
Br 1.222 5.134 1.695
Br 1.228 5.142 7.202
Br 2.531 1.785 -0.003
Br 4.918 5.065 8.899
Br 4.896 4.746 4.446
Br 6.226 1.717 7.202
Br 6.221 1.709 1.694
Rb 0.004 0.006 4.454
Mn 0.000 0.000 0.000
Ca 3.722 3.423 2.117
Ca 3.727 3.428 6.780

Q: What is the formula in the second record?
A: CaMnPbBr6